(1)
Mn3As2O8: relaxed, GGA+U.

Summary:
E: -6.99 eV/atom

The structure in CIF format:
```
data_Mn3As2O8
_chemical_formula_sum 'Mn12 As8 O32'
_cell_length_a 6.369
_cell_length_b 11.835
_cell_length_c 8.561
_cell_angle_alpha 90.00
_cell_angle_beta 90.00
_cell_angle_gamma 90.00
_symmetry_space_group_name_H-M 'C m c e'
_symmetry_Int_Tables_number 64
_symmetry_space_group_name_Hall '-C 2ac 2'
loop_
_atom_site_label
_atom_site_fract_x
_atom_site_fract_y
_atom_site_fract_z
Mn1 0.000 0.000 0.000
Mn2 0.250 0.143 0.250
As1 0.000 0.118 0.615
O1 0.000 0.002 0.745
O2 0.000 0.241 0.724
O3 0.225 0.118 0.502
```


(2)
Mn5As2O12: relaxed, GGA+U.

Summary:
E: -6.98 eV/atom

The structure in CIF format:
```
data_Mn5As2O12
_chemical_formula_sum 'Mn10 As4 O24'
_cell_length_a 10.835
_cell_length_b 5.534
_cell_length_c 7.424
_cell_angle_alpha 90.00
_cell_angle_beta 105.90
_cell_angle_gamma 90.00
_symmetry_space_group_name_H-M 'C 1 2/m 1'
_symmetry_Int_Tables_number 12
loop_
_symmetry_equiv_pos_as_xyz
'x,y,z'
'-x,-y,-z'
'-x,y,-z'
'x,-y,z'
'x+1/2,y+1/2,z'
'-x+1/2,-y+1/2,-z'
'-x+1/2,y+1/2,-z'
'x+1/2,-y+1/2,z'
loop_
_atom_site_label
_atom_site_fract_x
_atom_site_fract_y
_atom_site_fract_z
Mn1 0.000 0.000 0.000
Mn2 0.170 0.500 0.856
Mn3 0.208 0.500 0.247
As1 0.000 0.243 0.500
O1 0.039 0.500 0.353
O2 0.045 0.000 0.357
O3 0.138 0.260 0.041
O4 0.165 0.259 0.654
```


(3)
MnAs3O: relaxed, GGA+U.

Summary:
Polymorph energy (0 for the lowest one): 0 meV/atom
E: -4.37 eV/atom

The structure in CIF format:
```
data_MnAs3O
_chemical_formula_sum 'Mn1 As3 O1'
_cell_length_a 4.324
_cell_length_b 4.324
_cell_length_c 4.324
_cell_angle_alpha 90.00
_cell_angle_beta 90.00
_cell_angle_gamma 90.00
_symmetry_space_group_name_H-M 'P m -3 m'
_symmetry_Int_Tables_number 221
_symmetry_space_group_name_Hall '-P 4 2 3'
loop_
_atom_site_label
_atom_site_fract_x
_atom_site_fract_y
_atom_site_fract_z
Mn1 0.000 0.000 0.000
As1 0.000 0.500 0.500
O1 0.500 0.500 0.500
```


(4)
MnAsO3: relaxed, GGA+U.

Summary:
E: -6.71 eV/atom

The structure in CIF format:
```
data_MnAsO3
_chemical_formula_sum 'Mn3 As3 O9'
_cell_length_a 5.5960
_cell_length_b 5.5960
_cell_length_c 7.5085
_cell_angle_alpha 90.00
_cell_angle_beta 90.00
_cell_angle_gamma 120.00
_symmetry_space_group_name_H-M 'R 3 m'
_symmetry_Int_Tables_number 160
_symmetry_space_group_name_Hall 'R 3 -2"'
loop_
_atom_site_label
_atom_site_fract_x
_atom_site_fract_y
_atom_site_fract_z
Mn1 0.0000 0.0000 0.0000
As1 0.0000 0.0000 0.6425
O1 0.0296 0.5148 0.4608
```